Record 1
VASP calculation (PBE) on crystalline Mn4VB2 at its relaxed geometry.

It has space group Cmmm (No. 65), with a = 3.503 Å, b = 12.777 Å, c = 3.097 Å, α = 90.00°, β = 90.00° and γ = 90.00°. The asymmetric unit holds Mn at (0.000, 0.170, 0.000), Mn at (0.000, 0.323, 0.500), V at (0.000, 0.000, 0.500) and B at (0.000, 0.434, 0.000).

The formation energy comes out at -15 kJ per mole of atoms. The total energy comes out at -8.609 eV/atom.

Record 2
VASP calculation (PBE) on crystalline MnV4B at its relaxed geometry.

It has space group I4/mcm (No. 140), with a = 5.605 Å, b = 5.605 Å, c = 9.159 Å, α = 90.00°, β = 90.00° and γ = 90.00°. The asymmetric unit holds Mn at (0.000, 0.000, 0.000), V at (0.171, 0.329, 0.140) and B at (0.000, 0.000, 0.250).

The formation energy comes out at -8 kJ per mole of atoms. The total energy comes out at -8.808 eV/atom.

Record 3
VASP calculation (PBE) on crystalline MnV3B4 at its relaxed geometry.

It has space group Immm (No. 71), with a = 2.962 Å, b = 4.575 Å, c = 11.284 Å, α = 90.00°, β = 90.00° and γ = 90.00°. The asymmetric unit holds Mn at (0.000, 0.000, 0.000), V at (0.000, 0.000, 0.500), V at (0.000, 0.500, 0.310) and B at (0.000, 0.317, 0.130).

The formation energy comes out at -37 kJ per mole of atoms. The total energy comes out at -8.287 eV/atom.